Density functional theory data (PBE with a Hubbard U) for an optimized crystal structure of TlVSeF2.

Output
E	-5.026	eV/atom

Cell lengths 4.1746, 4.1746, 5.4419 Å; angles 90.00, 90.00, 90.00 degrees
Closest atoms and distances in Å follow each position.
Fractional coordinates of all 5 atoms:
V 0.0000 0.0000 0.0000  4 F 2.09
F 0.0000 0.5000 0.0000  2 V 2.09
F 0.5000 0.0000 0.0000  2 V 2.09
Se 0.0000 0.0000 0.5000  2 V 2.72, 4 Tl 2.95
Tl 0.5000 0.5000 0.5000  4 Se 2.95